First-principles (GGA-PBEsol) data for an optimized crystal structure of Li2CuP4O12, as listed in Alexandria.

Properties
SG: P2_1/c, No. 14
Offset from the most stable computed form (meV/atom): 19
Calculated volume (Å³ per cell): 975.5

Lattice parameters (Å, degrees): 7.339 10.909 12.319 90.00 98.45 90.00
Fractional coordinates of all 76 atoms:
1 Li 0.125 0.051 0.156
2 Li 0.125 0.449 0.656
3 Li 0.126 0.651 0.786
4 Li 0.126 0.849 0.286
5 Li 0.874 0.151 0.714
6 Li 0.874 0.349 0.214
7 Li 0.875 0.551 0.344
8 Li 0.875 0.949 0.844
9 Cu 0.495 0.242 0.184
10 Cu 0.495 0.258 0.684
11 Cu 0.505 0.742 0.316
12 Cu 0.505 0.758 0.816
13 P 0.007 0.212 0.954
14 P 0.007 0.288 0.454
15 P 0.143 0.589 0.183
16 P 0.143 0.911 0.683
17 P 0.402 0.247 0.923
18 P 0.402 0.253 0.423
19 P 0.470 0.021 0.328
20 P 0.470 0.479 0.828
21 P 0.530 0.521 0.172
22 P 0.530 0.979 0.672
23 P 0.598 0.747 0.577
24 P 0.598 0.753 0.077
25 P 0.857 0.089 0.317
26 P 0.857 0.411 0.817
27 P 0.993 0.712 0.546
28 P 0.993 0.788 0.046
29 O 0.011 0.007 0.298
30 O 0.011 0.493 0.798
31 O 0.062 0.197 0.074
32 O 0.062 0.303 0.574
33 O 0.095 0.656 0.065
34 O 0.095 0.844 0.565
35 O 0.100 0.617 0.615
36 O 0.100 0.883 0.115
37 O 0.185 0.239 0.892
38 O 0.185 0.261 0.392
39 O 0.210 0.681 0.270
40 O 0.210 0.819 0.770
41 O 0.313 0.503 0.158
42 O 0.313 0.997 0.658
43 O 0.389 0.603 0.847
44 O 0.389 0.897 0.347
45 O 0.393 0.084 0.222
46 O 0.393 0.416 0.722
47 O 0.437 0.106 0.429
48 O 0.437 0.394 0.929
49 O 0.468 0.193 0.034
50 O 0.468 0.307 0.534
51 O 0.485 0.194 0.829
52 O 0.485 0.306 0.329
53 O 0.515 0.694 0.671
54 O 0.515 0.806 0.171
55 O 0.532 0.693 0.466
56 O 0.532 0.807 0.966
57 O 0.563 0.606 0.071
58 O 0.563 0.894 0.571
59 O 0.607 0.584 0.278
60 O 0.607 0.916 0.778
61 O 0.611 0.103 0.653
62 O 0.611 0.397 0.153
63 O 0.687 0.003 0.342
64 O 0.687 0.497 0.842
65 O 0.790 0.181 0.230
66 O 0.790 0.319 0.730
67 O 0.815 0.739 0.608
68 O 0.815 0.761 0.108
69 O 0.900 0.117 0.885
70 O 0.900 0.383 0.385
71 O 0.905 0.156 0.435
72 O 0.905 0.344 0.935
73 O 0.938 0.697 0.426
74 O 0.938 0.803 0.926
75 O 0.989 0.507 0.202
76 O 0.989 0.993 0.702

First-principles (GGA-PBEsol) data for an optimized crystal structure of Li2Cu3P4O14, as listed in Alexandria.

Properties
SG: P2_1/c, No. 14
Calculated volume (Å³ per cell): 502.9

Lattice parameters (Å, degrees): 7.161 8.075 9.083 90.00 106.75 90.00
Fractional coordinates of all 46 atoms:
1 Li 0.199 0.090 0.118
2 Li 0.199 0.410 0.618
3 Li 0.801 0.590 0.382
4 Li 0.801 0.910 0.882
5 Cu 0.309 0.121 0.485
6 Cu 0.309 0.379 0.985
7 Cu 0.500 0.000 0.000
8 Cu 0.500 0.500 0.500
9 Cu 0.691 0.621 0.015
10 Cu 0.691 0.879 0.515
11 P 0.092 0.022 0.723
12 P 0.092 0.478 0.223
13 P 0.400 0.715 0.202
14 P 0.400 0.785 0.702
15 P 0.600 0.215 0.298
16 P 0.600 0.285 0.798
17 P 0.908 0.522 0.777
18 P 0.908 0.978 0.277
19 O 0.124 0.022 0.305
20 O 0.124 0.478 0.805
21 O 0.130 0.146 0.607
22 O 0.130 0.354 0.107
23 O 0.183 0.073 0.889
24 O 0.183 0.427 0.389
25 O 0.186 0.654 0.195
26 O 0.186 0.846 0.695
27 O 0.379 0.610 0.638
28 O 0.379 0.890 0.138
29 O 0.480 0.208 0.125
30 O 0.480 0.292 0.625
31 O 0.482 0.593 0.109
32 O 0.482 0.907 0.609
33 O 0.518 0.093 0.391
34 O 0.518 0.407 0.891
35 O 0.520 0.708 0.375
36 O 0.520 0.792 0.875
37 O 0.621 0.110 0.862
38 O 0.621 0.390 0.362
39 O 0.814 0.154 0.305
40 O 0.814 0.346 0.805
41 O 0.817 0.573 0.611
42 O 0.817 0.927 0.111
43 O 0.870 0.646 0.893
44 O 0.870 0.854 0.393
45 O 0.876 0.522 0.195
46 O 0.876 0.978 0.695

The uncorrected formation energy results, record by record, are as follows: -2036, -1804 meV/atom.